The following is a GGA-PBE calculation of crystalline B2PtW2 at its relaxed geometry, from Alexandria via LeMat-Bulk.

Lattice parameters (Å, degrees): 5.708 5.708 3.574 90.00 90.00 90.00
Element x y z (fractional)
W (0.169, 0.669, 0.500)
W (0.669, 0.831, 0.500)
W (0.331, 0.169, 0.500)
W (0.831, 0.331, 0.500)
B (0.892, 0.608, 0.000)
B (0.108, 0.392, 0.000)
B (0.608, 0.108, 0.000)
B (0.392, 0.892, 0.000)
Pt (0.000, 0.000, 0.000)
Pt (0.500, 0.500, 0.000)


The following is a GGA-PBE calculation of crystalline BPt3W at its relaxed geometry, from Alexandria via LeMat-Bulk.

Properties
Excess energy over the best structure of this formula in the dataset, eV/atom: 1.563

Lattice parameters (Å, degrees): 4.860 4.860 4.860 90.00 90.00 90.00
Element x y z (fractional)
W (0.000, 0.000, 0.000)
Pt (0.000, 0.500, 0.000)
Pt (0.500, 0.000, 0.000)
Pt (0.000, 0.000, 0.500)
B (0.500, 0.500, 0.500)


The following is a GGA-PBE calculation of crystalline BPtW2 at its relaxed geometry, from Alexandria via LeMat-Bulk.

Lattice parameters (Å, degrees): 4.699 4.699 7.193 70.94 70.94 90.00
Element x y z (fractional)
W (0.530, 0.125, 0.250)
W (0.220, 0.625, 0.250)
W (0.375, 0.470, 0.750)
W (0.875, 0.780, 0.750)
B (0.250, 0.750, 0.500)
B (0.500, 0.500, 0.000)
Pt (0.750, 0.250, 0.500)
Pt (0.000, 0.000, 0.000)


Number 1: V 116.5 Å³/cell, formation energy -20.2 kJ per mole of atoms. Number 2: V 114.8 Å³/cell, formation energy 190.6 kJ per mole of atoms. Number 3: V 140.9 Å³/cell, formation energy 84.4 kJ per mole of atoms.